Record 1
The following is a DFT calculation (PBE) of SrAgPb2Cl8 after structural relaxation.

Results
- E_form (uncorrected): -1.252 eV per atom
- Space group: P2/m

Cell lengths 6.628, 8.547, 6.795 Å; angles 90.00, 93.37, 90.00 degrees
Fractional positions:
Sr 0.000 0.000 0.000
Ag 0.000 0.500 0.000
Pb 0.500 0.259 0.500
Pb 0.500 0.741 0.500
Cl 0.203 0.279 0.174
Cl 0.203 0.721 0.174
Cl 0.283 0.000 0.689
Cl 0.290 0.500 0.674
Cl 0.710 0.500 0.326
Cl 0.717 0.000 0.311
Cl 0.797 0.279 0.826
Cl 0.797 0.721 0.826

=====

Record 2
The following is a DFT calculation (PBE) of Nd2CuOs after structural relaxation.

Results
- Space group: P4/mmm

Cell lengths 3.501, 3.501, 7.437 Å; angles 90.00, 90.00, 90.00 degrees
Fractional positions:
Nd 0.000 0.000 0.236
Nd 0.000 0.000 0.764
Cu 0.500 0.500 0.500
Os 0.500 0.500 0.000

=====

Record 3
The following is a DFT calculation (PBE) of HoEr2Cr2C4 after structural relaxation.

Results
- Space group: C2/m

Cell lengths 6.702, 6.702, 5.937 Å; angles 110.06, 110.06, 29.24 degrees
Fractional positions:
Ho 0.000 0.000 0.000
Er 0.135 0.135 0.543
Er 0.865 0.865 0.457
Cr 0.321 0.321 0.015
Cr 0.679 0.679 0.985
C 0.217 0.217 0.194
C 0.460 0.460 0.254
C 0.540 0.540 0.746
C 0.783 0.783 0.806

=====

Quick rundown of raw total energy, same order as above: -3.479, -6.259, -7.894 eV/atom